Density functional theory data (PBE) for crystalline NpMnGaAu at its relaxed geometry.

Results
Volume ... 77.6 Å³/cell
Calculated formation energy ... 30 kJ/mol of atoms
M_tot ... 8.48 μB per formula unit
D(E_F) ... 2.857 states/eV/atom

The structure in POSCAR format:
```
NpMnGaAu
1.0
0.0000 3.3856 3.3856
3.3856 0.0000 3.3856
3.3856 3.3856 0.0000
Np Mn Ga Au
1 1 1 1
Cartesian
0.0000 0.0000 0.0000
5.0784 5.0784 5.0784
1.6928 1.6928 1.6928
3.3856 3.3856 3.3856
```

Density functional theory data (PBE) for crystalline Sm2ErTm5 at its relaxed geometry.

Results
Volume ... 494.8 Å³/cell
ΔE to the lowest computed polymorph ... 0 meV/atom
Calculated formation energy ... 2 kJ/mol of atoms
M_tot ... 0.00 μB per formula unit
D(E_F) ... 1.356 states/eV/atom

The structure in POSCAR format:
```
Sm2ErTm5
1.0
7.0493 0.0000 0.0000
0.0000 14.0989 0.0000
0.0000 0.0000 4.9784
Sm Er Tm
4 2 10
Cartesian
1.7624 1.7633 0.0000
1.7622 8.8128 0.0000
5.2871 5.2861 0.0000
5.2869 12.3356 0.0000
0.0000 0.0000 2.4892
3.5247 7.0495 2.4892
7.0484 3.5259 2.4892
0.0000 7.0495 2.4892
0.0010 10.5730 2.4892
1.7620 5.2857 0.0000
1.7626 12.3351 0.0000
3.5247 0.0000 2.4892
3.5237 3.5236 2.4892
3.5256 10.5754 2.4892
5.2867 1.7638 0.0000
5.2873 8.8133 0.0000
```